A relaxed structure of HfVNi2Pd. Source: Alexandria, functional PBE.

Output
**Energy relative to the elements**: 18.5 kcal/mol of atoms

abc: 4.2485 4.8059 4.2485
angles: 90.00 90.00 90.00
Fractional coordinates of all 5 atoms:
Pd1 0.5000 0.5000 0.5000
Ni1 0.0000 0.0000 0.5000
Ni2 0.5000 0.0000 0.0000
V1 0.0000 0.0000 0.0000
Hf1 0.0000 0.5000 0.0000

***

A relaxed structure of SrReSe2. Source: Alexandria, functional PBE.

Output
**Excess energy over the best structure of this formula in the dataset**: 229 meV per atom
**Energy relative to the elements, uncorrected**: -0.2949 eV/atom

abc: 6.4497 6.4497 4.8909
angles: 70.31 70.31 30.87
Fractional coordinates of all 4 atoms:
Re1 0.2917 0.2917 0.0947
Se1 0.7216 0.7216 0.8400
Se2 0.9445 0.9445 0.0766
Sr1 0.5423 0.5423 0.4888

***

A relaxed structure of Fe2PbBr6Cl2. Source: Alexandria, functional PBE.

Output
**Energy relative to the elements, uncorrected**: -0.6529 eV/atom

abc: 7.0436 7.0436 9.9991
angles: 90.00 90.00 120.00
Fractional coordinates of all 11 atoms:
Pb1 0.0000 0.0000 0.0000
Br1 0.3539 0.0059 0.1802
Br2 0.6461 0.9941 0.8198
Br3 0.3480 0.3539 0.8198
Br4 0.6520 0.6461 0.1802
Br5 0.9941 0.3480 0.1802
Br6 0.0059 0.6520 0.8198
Fe1 0.3333 0.6667 0.7406
Fe2 0.6667 0.3333 0.2594
Cl1 0.3333 0.6667 0.5264
Cl2 0.6667 0.3333 0.4736

***

A relaxed structure of U2NiGe4Pt3. Source: Alexandria, functional PBE.

Output
**Energy relative to the elements**: -11.7 kcal/mol of atoms

abc: 4.1562 4.1562 10.5758
angles: 90.00 90.00 90.00
Fractional coordinates of all 10 atoms:
Pt1 0.0000 0.0000 0.5000
Pt2 0.5000 0.0000 0.8598
Pt3 0.0000 0.5000 0.1402
Ge1 0.5000 0.5000 0.0000
Ge2 0.5000 0.0000 0.6282
Ge3 0.0000 0.5000 0.3718
Ge4 0.0000 0.0000 0.0000
U1 0.0000 0.5000 0.7389
U2 0.5000 0.0000 0.2611
Ni1 0.5000 0.5000 0.5000

***

A relaxed structure of TeAsAu2. Source: Alexandria, functional PBE.

Output
**Excess energy over the best structure of this formula in the dataset**: 370 meV per atom
**Energy relative to the elements, uncorrected**: 0.3826 eV/atom

abc: 4.9160 4.9160 4.9160
angles: 60.00 60.00 60.00
Fractional coordinates of all 4 atoms:
As1 0.0000 0.0000 0.0000
Au1 0.7500 0.7500 0.7500
Au2 0.2500 0.2500 0.2500
Te1 0.5000 0.5000 0.5000

***

A relaxed structure of NaPuNiS3. Source: Alexandria, functional PBE.

Output
**Energy relative to the elements, uncorrected**: -1.1430 eV/atom

abc: 3.8911 8.0297 8.6792
angles: 102.66 90.00 90.00
Fractional coordinates of all 12 atoms:
Ni1 0.7500 0.9158 0.4182
Ni2 0.2500 0.0842 0.5818
S1 0.2500 0.1026 0.8512
S2 0.2500 0.8016 0.4763
S3 0.7500 0.1984 0.5237
S4 0.2500 0.5634 0.8410
S5 0.7500 0.8974 0.1488
S6 0.7500 0.4366 0.1590
Pu1 0.2500 0.6756 0.1633
Pu2 0.7500 0.3244 0.8367
Na1 0.7500 0.8166 0.7830
Na2 0.2500 0.1834 0.2170

***

A relaxed structure of SrAuCl2. Source: Alexandria, functional PBE.

Output
**Excess energy over the best structure of this formula in the dataset**: 9 meV per atom
**Energy relative to the elements, uncorrected**: -1.2255 eV/atom

abc: 6.5902 6.5902 4.1660
angles: 89.81 89.81 36.78
Fractional coordinates of all 4 atoms:
Cl1 0.2305 0.2305 0.3740
Cl2 0.9801 0.9801 0.8762
Au1 0.7361 0.7361 0.8739
Sr1 0.5532 0.5532 0.3759

***

A relaxed structure of NaTl4Cu3Cl12. Source: Alexandria, functional PBE.

Output
**Energy relative to the elements, uncorrected**: -0.7922 eV/atom

abc: 8.6327 8.6327 8.6327
angles: 109.47 109.47 109.47
Fractional coordinates of all 20 atoms:
Cl1 0.7500 0.5000 0.2500
Cl2 0.7269 0.7269 0.0000
Cl3 0.7500 0.2500 0.5000
Cl4 0.0000 0.7269 0.7269
Cl5 0.0000 0.2731 0.2731
Cl6 0.5000 0.2500 0.7500
Cl7 0.2500 0.7500 0.5000
Cl8 0.7269 0.0000 0.7269
Cl9 0.2731 0.2731 0.0000
Cl10 0.2731 0.0000 0.2731
Cl11 0.5000 0.7500 0.2500
Cl12 0.2500 0.5000 0.7500
Cu1 0.5000 0.5000 0.0000
Cu2 0.5000 0.0000 0.5000
Cu3 0.0000 0.5000 0.5000
Tl1 0.0000 0.0000 0.5000
Tl2 0.5000 0.0000 0.0000
Tl3 0.5000 0.5000 0.5000
Tl4 0.0000 0.5000 0.0000
Na1 0.0000 0.0000 0.0000

***

A relaxed structure of BeFe2Os. Source: Alexandria, functional PBE.

Output
**Energy relative to the elements**: 4.5 kcal/mol of atoms

abc: 2.5492 2.5492 7.7127
angles: 90.00 90.00 109.69
Fractional coordinates of all 4 atoms:
Fe1 0.0000 0.0000 0.9731
Fe2 0.0000 0.0000 0.5269
Os1 0.5000 0.5000 0.2500
Be1 0.5000 0.5000 0.7500

***

A relaxed structure of NdLuMnAg. Source: Alexandria, functional PBE.

Output
**Energy relative to the elements**: 0.5 kcal/mol of atoms

abc: 5.1237 5.1237 5.1237
angles: 60.00 60.00 60.00
Fractional coordinates of all 4 atoms:
Lu1 0.0000 0.0000 0.0000
Nd1 0.5000 0.5000 0.5000
Mn1 0.7500 0.7500 0.7500
Ag1 0.2500 0.2500 0.2500

***

A relaxed structure of SrRhCl. Source: Alexandria, functional PBE.

Output
**Excess energy over the best structure of this formula in the dataset**: 48 meV per atom
**Energy relative to the elements, uncorrected**: -1.1477 eV/atom

abc: 3.7592 11.1173 3.7588
angles: 89.99 90.00 109.77
Fractional coordinates of all 6 atoms:
Sr1 0.8730 0.1979 0.5303
Sr2 0.8605 0.6854 0.0303
Rh1 0.1180 0.4416 0.0314
Rh2 0.6181 0.4416 0.5315
Cl1 0.4849 0.8100 0.5301
Cl2 0.2485 0.0736 0.0302

***

A relaxed structure of HoZrFePd. Source: Alexandria, functional PBE.

Output
**Energy relative to the elements**: -7.3 kcal/mol of atoms

abc: 4.7141 4.7141 4.7141
angles: 60.00 60.00 60.00
Fractional coordinates of all 4 atoms:
Ho1 0.7500 0.7500 0.7500
Zr1 0.2500 0.2500 0.2500
Pd1 0.5000 0.5000 0.5000
Fe1 0.0000 0.0000 0.0000